1.
DFT (PBE) results for an optimized crystal structure of NdGa4Pt4.

electronic total energy	-95.04	eV/cell
space-group type	P4_2/nmc (137)
crystal system	tetragonal
energy relative to the elements	-720	meV/atom

```
data_NdGa4Pt4
_space_group_name_H-M_alt 'P 1'
_space_group_IT_number 1
_space_group_name_Hall 'P 1'
_cell_length_a 6.2198
_cell_length_b 6.2198
_cell_length_c 8.5161
_cell_angle_alpha 90.00
_cell_angle_beta 90.00
_cell_angle_gamma 90.00
loop_
_atom_site_label
_atom_site_type_symbol
_atom_site_fract_x
_atom_site_fract_y
_atom_site_fract_z
Pt1 Pt 0.7747 0.5000 0.8783
Pt2 Pt 0.5000 0.2253 0.1217
Ga1 Ga 0.5000 0.7890 0.8234
Pt3 Pt 0.0000 0.7253 0.3783
Nd1 Nd 0.5000 0.5000 0.5000
Pt4 Pt 0.7253 0.0000 0.6217
Ga2 Ga 0.5000 0.2110 0.8234
Ga3 Ga 0.0000 0.2890 0.6766
Pt5 Pt 0.2253 0.5000 0.8783
Ga4 Ga 0.0000 0.7110 0.6766
Nd2 Nd 0.0000 0.0000 0.0000
Ga5 Ga 0.7890 0.5000 0.1766
Pt6 Pt 0.2747 0.0000 0.6217
Ga6 Ga 0.2890 0.0000 0.3234
Ga7 Ga 0.2110 0.5000 0.1766
Pt7 Pt 0.5000 0.7747 0.1217
Ga8 Ga 0.7110 0.0000 0.3234
Pt8 Pt 0.0000 0.2747 0.3783
```

2.
DFT (PBE) results for an optimized crystal structure of Nd4GaPt.

energy relative to the lowest polymorph listed for this composition	0.00	kcal/mol of atoms
electronic total energy	-126.29	eV/cell
space-group type	F-43m (216)
crystal system	cubic
energy relative to the elements	-572	meV/atom

```
data_Nd4GaPt
_space_group_name_H-M_alt 'P 1'
_space_group_IT_number 1
_space_group_name_Hall 'P 1'
_cell_length_a 9.8937
_cell_length_b 9.8937
_cell_length_c 9.8937
_cell_angle_alpha 60.00
_cell_angle_beta 60.00
_cell_angle_gamma 60.00
loop_
_atom_site_label
_atom_site_type_symbol
_atom_site_fract_x
_atom_site_fract_y
_atom_site_fract_z
Nd1 Nd 0.1860 0.8140 0.1860
Ga1 Ga 0.1718 0.1718 0.1718
Nd2 Nd 0.9482 0.5518 0.9482
Nd3 Nd 0.8140 0.1860 0.8140
Nd4 Nd 0.3957 0.8128 0.3957
Nd5 Nd 0.3957 0.3957 0.8128
Nd6 Nd 0.9482 0.9482 0.5518
Nd7 Nd 0.1860 0.8140 0.8140
Nd8 Nd 0.9482 0.5518 0.5518
Nd9 Nd 0.5518 0.9482 0.5518
Pt1 Pt 0.6066 0.6066 0.6066
Pt2 Pt 0.1802 0.6066 0.6066
Nd10 Nd 0.5518 0.9482 0.9482
Nd11 Nd 0.8140 0.8140 0.1860
Ga2 Ga 0.4846 0.1718 0.1718
Pt3 Pt 0.6066 0.6066 0.1802
Ga3 Ga 0.1718 0.1718 0.4846
Nd12 Nd 0.8140 0.1860 0.1860
Nd13 Nd 0.1860 0.1860 0.8140
Ga4 Ga 0.1718 0.4846 0.1718
Nd14 Nd 0.5518 0.5518 0.9482
Pt4 Pt 0.6066 0.1802 0.6066
Nd15 Nd 0.8128 0.3957 0.3957
Nd16 Nd 0.3957 0.3957 0.3957
```